(1)
## CaSbTe2S (PBE)

Data for a geometry-optimized CaSbTe2S structure.

Values from the calculation:
- M_tot (Bohr magnetons per cell) = 0.97
- excess energy over the best structure of this formula in the dataset (kJ/mol of formula units) = 227
- formation energy from raw total energies (eV/atom) = 0.31

Cell lengths 5.602, 5.602, 6.182 Å; angles 90.00, 90.00, 90.00 degrees
Space group P4/mmm (No. 123)
Inequivalent atoms, fractional coordinates:
Ca (0.000, 0.000, 0.000) x1
Sb (0.000, 0.000, 0.500) x1
Te (0.000, 0.500, 0.500) x2
S (0.500, 0.500, 0.000) x1

---

(2)
## Ca2SbTeS (PBE)

Data for a geometry-optimized Ca2SbTeS structure.

Values from the calculation:
- M_tot (Bohr magnetons per cell) = 0.00
- formation energy from raw total energies (eV/atom) = -0.55

Cell lengths 5.990, 5.990, 4.904 Å; angles 90.00, 90.00, 90.00 degrees
Space group P4/mmm (No. 123)
Inequivalent atoms, fractional coordinates:
Ca (0.000, 0.500, 0.000) x2
Sb (0.000, 0.000, 0.000) x1
Te (0.500, 0.500, 0.500) x1
S (0.000, 0.000, 0.500) x1

---

(3)
## CaSbTe2S (PBE)

Data for a geometry-optimized CaSbTe2S structure.

Values from the calculation:
- M_tot (Bohr magnetons per cell) = 0.00
- excess energy over the best structure of this formula in the dataset (kJ/mol of formula units) = 0
- formation energy from raw total energies (eV/atom) = -0.17

Cell lengths 5.312, 5.312, 5.298 Å; angles 90.00, 90.00, 90.00 degrees
Space group P4/mmm (No. 123)
Inequivalent atoms, fractional coordinates:
Ca (0.000, 0.000, 0.000) x1
Sb (0.500, 0.500, 0.000) x1
Te (0.000, 0.500, 0.500) x2
S (0.500, 0.500, 0.500) x1

---

(4)
## CaSbTe2S (PBE)

Data for a geometry-optimized CaSbTe2S structure.

Values from the calculation:
- M_tot (Bohr magnetons per cell) = 1.63
- excess energy over the best structure of this formula in the dataset (kJ/mol of formula units) = 394
- formation energy from raw total energies (eV/atom) = 0.65

Cell lengths 5.714, 5.714, 5.943 Å; angles 90.00, 90.00, 90.00 degrees
Space group P4/mmm (No. 123)
Inequivalent atoms, fractional coordinates:
Ca (0.000, 0.000, 0.000) x1
Sb (0.000, 0.000, 0.500) x1
Te (0.000, 0.500, 0.000) x2
S (0.500, 0.500, 0.500) x1

---

(5)
## CaTi2SbS (PBE)

Data for a geometry-optimized CaTi2SbS structure.

Values from the calculation:
- M_tot (Bohr magnetons per cell) = 0.00
- formation energy from raw total energies (eV/atom) = -0.26

Cell lengths 4.559, 4.559, 5.664 Å; angles 90.00, 90.00, 90.00 degrees
Space group P4/mmm (No. 123)
Inequivalent atoms, fractional coordinates:
Ca (0.000, 0.000, 0.000) x1
Ti (0.000, 0.500, 0.500) x2
Sb (0.500, 0.500, 0.000) x1
S (0.500, 0.500, 0.500) x1

---

(6)
## Ca2Tl3SbS6 (PBE)

Data for a geometry-optimized Ca2Tl3SbS6 structure.

Values from the calculation:
- M_tot (Bohr magnetons per cell) = 0.00
- formation energy from raw total energies (eV/atom) = -0.87

Cell lengths 7.067, 12.118, 7.690 Å; angles 90.00, 107.32, 90.00 degrees
Space group C2/m (No. 12)
Inequivalent atoms, fractional coordinates:
Ca (0.000, 0.165, 0.000) x4
Tl (0.000, 0.000, 0.500) x2
Tl (0.000, 0.326, 0.500) x4
Sb (0.000, 0.500, 0.000) x2
S (0.216, 0.350, 0.194) x8
S (0.232, 0.500, 0.790) x4

---

(7)
## CaTl3Sb2S6 (PBE)

Data for a geometry-optimized CaTl3Sb2S6 structure.

Values from the calculation:
- M_tot (Bohr magnetons per cell) = 0.00
- formation energy from raw total energies (eV/atom) = -0.59

Cell lengths 7.026, 12.149, 7.639 Å; angles 90.00, 107.72, 90.00 degrees
Space group C2/m (No. 12)
Inequivalent atoms, fractional coordinates:
Ca (0.000, 0.000, 0.000) x2
Tl (0.000, 0.160, 0.500) x4
Tl (0.000, 0.500, 0.500) x2
Sb (0.000, 0.334, 0.000) x4
S (0.221, 0.500, 0.200) x4
S (0.244, 0.172, 0.212) x8

---

(8)
## CaTl2SbS4 (PBE)

Data for a geometry-optimized CaTl2SbS4 structure.

Values from the calculation:
- M_tot (Bohr magnetons per cell) = 0.00
- formation energy from raw total energies (eV/atom) = -0.70

Cell lengths 8.272, 8.393, 11.771 Å; angles 90.00, 90.00, 90.00 degrees
Space group Imma (No. 74)
Inequivalent atoms, fractional coordinates:
Ca (0.000, 0.000, 0.000) x4
Tl (0.000, 0.000, 0.500) x4
Tl (0.250, 0.250, 0.250) x4
Sb (0.250, 0.250, 0.750) x4
S (0.000, 0.029, 0.758) x8
S (0.231, 0.250, 0.983) x8

---

(9)
## CaZrSb2S (PBE)

Data for a geometry-optimized CaZrSb2S structure.

Values from the calculation:
- M_tot (Bohr magnetons per cell) = 1.51
- formation energy from raw total energies (eV/atom) = 0.01

Cell lengths 5.364, 5.364, 4.876 Å; angles 90.00, 90.00, 90.00 degrees
Space group P4/mmm (No. 123)
Inequivalent atoms, fractional coordinates:
Ca (0.000, 0.000, 0.000) x1
Zr (0.500, 0.500, 0.000) x1
Sb (0.000, 0.500, 0.500) x2
S (0.000, 0.000, 0.500) x1

---

(10)
## Ca4ScS5 (PBE)

Data for a geometry-optimized Ca4ScS5 structure.

Values from the calculation:
- M_tot (Bohr magnetons per cell) = 0.00
- formation energy from raw total energies (eV/atom) = -2.05

Cell lengths 3.961, 3.961, 28.066 Å; angles 90.00, 90.00, 90.00 degrees
Space group I4/mmm (No. 139)
Inequivalent atoms, fractional coordinates:
Ca (0.000, 0.000, 0.098) x4
Ca (0.000, 0.000, 0.301) x4
Sc (0.000, 0.000, 0.500) x2
S (0.000, 0.000, 0.000) x2
S (0.000, 0.000, 0.199) x4
S (0.000, 0.000, 0.405) x4

---

no.,E_tot (eV per atom)
1,-3.00
2,-3.63
3,-3.47
4,-2.66
5,-5.47
6,-4.20
7,-4.10
8,-4.12
9,-4.58
10,-5.55